[1]
TbYErCu | PBE-GGA | optimized geometry

```
data_TbYErCu
_chemical_formula_sum 'Tb1 Y1 Er1 Cu1'
_cell_length_a 3.488
_cell_length_b 3.488
_cell_length_c 8.692
_cell_angle_alpha 90.00
_cell_angle_beta 90.00
_cell_angle_gamma 90.00
_symmetry_space_group_name_H-M 'P 1'
_symmetry_Int_Tables_number 1
loop_
_symmetry_equiv_pos_as_xyz
'x,y,z'
loop_
_atom_site_label
_atom_site_type_symbol
_atom_site_fract_x
_atom_site_fract_y
_atom_site_fract_z
_atom_site_occupancy
Cu1 Cu 0.000 0.000 0.565 1
Y1 Y 0.000 0.000 0.074 1
Er1 Er 0.500 0.500 0.376 1
Tb1 Tb 0.500 0.500 0.769 1
```

Output
The space group is P4mm (99). The total magnetization comes out at 0.000 μB per atom. The calculated total energy comes out at -5.038 eV per atom. The calculation puts the formation energy at -0.10 eV per atom.

---

[2]
CaZnGe2Ir | PBE-GGA | optimized geometry

```
data_CaZnGe2Ir
_chemical_formula_sum 'Ca1 Zn1 Ge2 Ir1'
_cell_length_a 4.151
_cell_length_b 4.151
_cell_length_c 6.170
_cell_angle_alpha 109.66
_cell_angle_beta 109.66
_cell_angle_gamma 90.00
_symmetry_space_group_name_H-M 'P 1'
_symmetry_Int_Tables_number 1
loop_
_symmetry_equiv_pos_as_xyz
'x,y,z'
loop_
_atom_site_label
_atom_site_type_symbol
_atom_site_fract_x
_atom_site_fract_y
_atom_site_fract_z
_atom_site_occupancy
Ge1 Ge 0.382 0.382 0.763 1
Ca1 Ca 0.000 0.000 0.000 1
Ir1 Ir 0.250 0.750 0.500 1
Ge2 Ge 0.618 0.618 0.237 1
Zn1 Zn 0.750 0.250 0.500 1
```

Output
The space group is I-4m2 (119). The total magnetization comes out at 0.000 μB per atom. The calculated total energy comes out at -4.695 eV per atom. The calculation puts the formation energy at -0.42 eV per atom.

---

[3]
MnAsIr | PBE-GGA | optimized geometry

```
data_MnAsIr
_chemical_formula_sum 'Mn4 As4 Ir4'
_cell_length_a 9.025
_cell_length_b 2.868
_cell_length_c 8.504
_cell_angle_alpha 90.00
_cell_angle_beta 114.35
_cell_angle_gamma 90.00
_symmetry_space_group_name_H-M 'P 1'
_symmetry_Int_Tables_number 1
loop_
_symmetry_equiv_pos_as_xyz
'x,y,z'
loop_
_atom_site_label
_atom_site_type_symbol
_atom_site_fract_x
_atom_site_fract_y
_atom_site_fract_z
_atom_site_occupancy
As1 As 0.000 0.500 0.940 1
Mn1 Mn 0.260 0.000 0.103 1
Mn2 Mn 0.105 0.000 0.760 1
As2 As 0.000 0.000 0.440 1
Ir1 Ir 0.533 0.500 0.275 1
Ir2 Ir 0.356 0.500 0.925 1
Mn3 Mn 0.260 0.500 0.603 1
As3 As 0.663 0.500 0.049 1
As4 As 0.663 0.000 0.549 1
Mn4 Mn 0.105 0.500 0.260 1
Ir3 Ir 0.356 0.000 0.425 1
Ir4 Ir 0.533 0.000 0.775 1
```

Output
The space group is Cm (8). The total magnetization comes out at 0.163 μB per atom. The calculated total energy comes out at -7.567 eV per atom. The calculation puts the formation energy at -0.01 eV per atom.